DFT (GGA-PBE) results for LiCdMo2 after structural relaxation.

Cell: 2.6347 4.2955 5.9419 Å, 90.00 90.00 90.00°
Fractional positions:
Cd: 0.0000 0.0000 0.5199
Li: 0.5000 0.5000 0.7408
Mo: 0.0000 0.0000 0.0169
Mo: 0.5000 0.5000 0.2224

Summary:
As for the space group: Pmm2. For the formation energy, the calculation gives 0.349 eV/atom. For the total energy, the calculation gives -5.774 eV per atom. For the magnetization, the calculation gives 0.000 μB per cell.

=====

DFT (GGA-PBE) results for LiCd2Mo after structural relaxation.

Cell: 10.0123 10.0123 10.0123 Å, 16.74 16.74 16.74°
Fractional positions:
Cd: 0.9989 0.9989 0.9989
Cd: 0.5011 0.5011 0.5011
Li: 0.2500 0.2500 0.2500
Mo: 0.7500 0.7500 0.7500

Summary:
As for the space group: R-3m. For the formation energy, the calculation gives 0.209 eV/atom. The energy relative to the lowest polymorph listed for this composition comes out at 64 meV per atom. For the total energy, the calculation gives -3.435 eV per atom. For the magnetization, the calculation gives 0.004 μB per cell.

=====

DFT (GGA-PBE) results for LiCdMo2 after structural relaxation.

Cell: 2.6776 2.6776 9.3270 Å, 90.00 90.00 90.00°
Fractional positions:
Cd: 0.0000 0.0000 0.5053
Li: 0.5000 0.5000 0.7518
Mo: 0.0000 0.0000 0.9974
Mo: 0.5000 0.5000 0.2455

Summary:
As for the space group: P4mm. For the formation energy, the calculation gives 0.329 eV/atom. For the total energy, the calculation gives -5.794 eV per atom. For the magnetization, the calculation gives 0.000 μB per cell.